DFT (PBE with a Hubbard U) results for VReNO2 after structural relaxation.

Cell: 3.642 3.642 4.236 Å, 90.00 90.00 90.00°
Space group P4/mmm (No. 123)
Unique sites:
V (0.000, 0.000, 0.000)
Re (0.500, 0.500, 0.500)
N (0.000, 0.000, 0.500)
O (0.000, 0.500, 0.000)

total moment	3.92	μB per formula unit
raw total energy	-7.37	eV/atom